Record 1
Density functional theory data (PBE) for a geometry-optimized BaRuO5 structure.

Properties
For the total energy, the calculation gives -6.39 eV per atom. Its crystal system is orthorhombic.

Unit cell a=4.7299 b=5.9387 c=5.9387 alpha=65.71 beta=66.53 gamma=66.53
With the nearest neighbours (Å) after each atom.
Sites, in units of the cell vectors:
Ba (0.0075, 0.0000, 0.0000)  6 O 2.65-2.79
Ru (0.5882, 0.5000, 0.5000)  5 O 1.75-1.84
O (0.6862, 0.3020, 0.3020)  1 Ru 1.80
O (0.9577, 0.5000, 0.5000)  1 Ru 1.75
O (0.2903, 0.6980, 0.6980)  1 Ru 1.80
O (0.5004, 0.2224, 0.7776)  1 Ru 1.84
O (0.5004, 0.7776, 0.2224)  1 Ru 1.84

Record 2
Density functional theory data (PBE) for a geometry-optimized RbNb2Bi structure.

Properties
The calculation puts the density of states at the Fermi level at 4.16 states/eV/f.u. The calculation puts the formation energy from the elements at 1.49 eV per atom. Its crystal system is tetragonal.

Unit cell a=8.6022 b=8.6022 c=6.8098 alpha=50.83 beta=50.83 gamma=90.00
With the nearest neighbours (Å) after each atom.
Sites, in units of the cell vectors:
Nb (0.6744, 0.1250, 0.2500)  2 Bi 2.86, 2 Nb 3.18
Nb (0.0756, 0.6250, 0.2500)  2 Bi 2.86, 2 Nb 3.18
Nb (0.3750, 0.3256, 0.7500)  2 Bi 2.86, 2 Nb 3.18
Nb (0.8750, 0.9244, 0.7500)  2 Bi 2.86, 2 Nb 3.18
Bi (0.0000, 0.0000, 0.0000)  4 Nb 2.86, 2 Rb 3.06
Bi (0.7500, 0.2500, 0.5000)  4 Nb 2.86, 2 Rb 3.06
Rb (0.5000, 0.5000, 0.0000)  2 Bi 3.06
Rb (0.2500, 0.7500, 0.5000)  2 Bi 3.06

Record 3
Density functional theory data (PBE) for a geometry-optimized Sm2NpUC4 structure.

Properties
The calculation puts the density of states at the Fermi level at 7.85 states/eV/f.u. The calculation puts the formation energy from the elements at -0.09 eV per atom. Its crystal system is monoclinic.

Unit cell a=3.6134 b=6.1365 c=6.2297 alpha=70.53 beta=90.00 gamma=90.00
With the nearest neighbours (Å) after each atom.
Sites, in units of the cell vectors:
Sm (0.0000, 0.0000, 0.0000)  6 C 2.70-2.71
Sm (0.5000, 0.0000, 0.5000)  6 C 2.72-2.73
Np (0.5000, 0.5000, 0.0000)  6 C 2.34-2.38
U (0.0000, 0.5000, 0.5000)  6 C 2.37-2.39
C (0.0000, 0.6992, 0.7666)  1 U 2.37, 2 Np 2.38
C (0.0000, 0.3008, 0.2334)  1 U 2.37, 2 Np 2.38
C (0.5000, 0.6979, 0.2634)  1 Np 2.34, 2 U 2.39
C (0.5000, 0.3021, 0.7366)  1 Np 2.34, 2 U 2.39